! HfMgSi3 (PBE-GGA, relaxed); values from VASP
! SG: No. 221
! energy relative to the elements, uncorrected: 1.10 eV per atom
! polymorph energy (0 for the lowest one): 2.17 eV per formula unit
&SYSTEM
  ibrav = 0, nat = 5, ntyp = 3
/
ATOMIC_SPECIES
Hf 178.49 Hf.upf
Mg 24.30 Mg.upf
Si 28.09 Si.upf
CELL_PARAMETERS angstrom
4.718 0.000 0.000
0.000 4.718 0.000
0.000 0.000 4.718
ATOMIC_POSITIONS crystal
Hf 0.000 0.000 0.000
Mg 0.500 0.500 0.500
Si 0.000 0.500 0.500
Si 0.500 0.000 0.500
Si 0.500 0.500 0.000